{
  "formula": "PmSm4Y3",
  "functional": "PBE",
  "state": "relaxed",
  "space_group": "C2/m",
  "vol_a3_per_fu": 271.2,
  "formation_energy_kj_per_mol_fu": 131,
  "lattice_angstrom": [[3.453, 0.000, -0.436], [-0.175, 6.696, -1.389], [-0.245, -0.961, 11.962]],
  "species": ["Y", "Y", "Y", "Sm", "Sm", "Sm", "Sm", "Pm"],
  "frac_coords": [[0.000, 0.500, 0.000], [0.125, 0.883, 0.250], [0.875, 0.117, 0.750], [0.740, 0.241, 0.481], [0.260, 0.759, 0.519], [0.125, 0.371, 0.249], [0.875, 0.629, 0.751], [0.500, 0.000, 0.000]]
}